# 1
Below is a relaxed Y3MnSn crystal, with properties calculated at the GGA-PBEsol level.

extended XYZ file:
```
5
Lattice="5.6156 0.0000 0.0000 0.0000 5.6156 0.0000 0.0000 0.0000 5.6156" Properties=species:S:1:pos:R:3 pbc="T T T"
Y 0.0000 0.0000 2.8078
Y 0.0000 2.8078 0.0000
Y 2.8078 0.0000 0.0000
Mn 2.8078 2.8078 2.8078
Sn 0.0000 0.0000 0.0000
```

## Properties
Its space-group type is Pm-3m. Its formation energy is 657 meV/atom.



# 2
Below is a relaxed MnZn3Sn crystal, with properties calculated at the GGA-PBEsol level.

extended XYZ file:
```
5
Lattice="5.0254 0.0000 0.0000 0.0000 5.0254 0.0000 0.0000 0.0000 5.0254" Properties=species:S:1:pos:R:3 pbc="T T T"
Mn 0.0000 0.0000 0.0000
Zn 0.0000 2.5127 2.5127
Zn 2.5127 0.0000 2.5127
Zn 2.5127 2.5127 0.0000
Sn 2.5127 2.5127 2.5127
```

## Properties
Its space-group type is Pm-3m. Its formation energy is 1057 meV/atom.



# 3
Below is a relaxed Zr2MnSn2 crystal, with properties calculated at the GGA-PBEsol level.

extended XYZ file:
```
10
Lattice="4.0370 0.0000 0.0000 0.0000 4.0370 0.0000 0.0000 0.0000 13.9824" Properties=species:S:1:pos:R:3 pbc="T T T"
Zr 0.0000 2.0185 3.4956
Zr 0.0000 2.0185 10.4868
Zr 2.0185 0.0000 3.4956
Zr 2.0185 0.0000 10.4868
Mn 0.0000 0.0000 0.0000
Mn 2.0185 2.0185 6.9912
Sn 0.0000 0.0000 5.6624
Sn 0.0000 0.0000 8.3200
Sn 2.0185 2.0185 1.3288
Sn 2.0185 2.0185 12.6535
```

## Properties
Its space-group type is I4/mmm. Its formation energy is 338 meV/atom.